Entry 1:
The following is a PBE calculation of MgScMo after structural relaxation, from Alexandria.

Geometry as CIF:
```
data_MgScMo
_space_group_name_H-M_alt 'F -4 3 m'
_space_group_IT_number 216
_space_group_name_Hall 'F -4 2 3'
_cell_length_a 6.5969
_cell_length_b 6.5969
_cell_length_c 6.5969
_cell_angle_alpha 90.00
_cell_angle_beta 90.00
_cell_angle_gamma 90.00
loop_
_atom_site_label
_atom_site_fract_x
_atom_site_fract_y
_atom_site_fract_z
Mg1 0.0000 0.0000 0.0000
Sc1 0.0000 0.0000 0.5000
Mo1 0.2500 0.2500 0.7500
```

Properties
Polymorph energy (0 for the lowest one) (kJ/mol of atoms): 96.0
Total moment (μB/cell): 10.48
Calculated formation energy (eV/atom): 0.94


Entry 2:
The following is a PBE calculation of CaGd2As after structural relaxation, from Alexandria.

Geometry as CIF:
```
data_CaGd2As
_space_group_name_H-M_alt 'R -3 m'
_space_group_IT_number 166
_space_group_name_Hall '-R 3 2"'
_cell_length_a 3.9155
_cell_length_b 3.9155
_cell_length_c 31.5701
_cell_angle_alpha 90.00
_cell_angle_beta 90.00
_cell_angle_gamma 120.00
loop_
_atom_site_label
_atom_site_fract_x
_atom_site_fract_y
_atom_site_fract_z
Ca1 0.0000 0.0000 0.0000
Gd1 0.0000 0.0000 0.1129
As1 0.0000 0.0000 0.5000
```

Properties
Total moment (μB/cell): 45.18
Calculated formation energy (eV/atom): -0.52


Entry 3:
The following is a PBE calculation of NaTlHg14 after structural relaxation, from Alexandria.

Geometry as CIF:
```
data_NaTlHg14
_space_group_name_H-M_alt 'P 4/m m m'
_space_group_IT_number 123
_space_group_name_Hall '-P 4 2'
_cell_length_a 7.0998
_cell_length_b 7.0998
_cell_length_c 8.6539
_cell_angle_alpha 90.00
_cell_angle_beta 90.00
_cell_angle_gamma 90.00
loop_
_atom_site_label
_atom_site_fract_x
_atom_site_fract_y
_atom_site_fract_z
Na1 0.0000 0.0000 0.0000
Tl1 0.5000 0.5000 0.0000
Hg1 0.0000 0.0000 0.5000
Hg2 0.0000 0.5000 0.0000
Hg3 0.0000 0.5000 0.5000
Hg4 0.2453 0.2453 0.2527
Hg5 0.5000 0.5000 0.5000
```

Properties
Total moment (μB/cell): 0.00
Calculated formation energy (eV/atom): -0.06


Entry 4:
The following is a PBE calculation of HfUGa2 after structural relaxation, from Alexandria.

Geometry as CIF:
```
data_HfUGa2
_space_group_name_H-M_alt 'R -3 m'
_space_group_IT_number 166
_space_group_name_Hall '-R 3 2"'
_cell_length_a 3.0266
_cell_length_b 3.0266
_cell_length_c 29.6755
_cell_angle_alpha 90.00
_cell_angle_beta 90.00
_cell_angle_gamma 120.00
loop_
_atom_site_label
_atom_site_fract_x
_atom_site_fract_y
_atom_site_fract_z
Hf1 0.0000 0.0000 0.0000
U1 0.0000 0.0000 0.5000
Ga1 0.0000 0.0000 0.2536
```

Properties
Polymorph energy (0 for the lowest one) (kJ/mol of atoms): 10.0
Total moment (μB/cell): 3.59
Calculated formation energy (eV/atom): -0.14


Entry 5:
The following is a PBE calculation of Li2SiIr2 after structural relaxation, from Alexandria.

Geometry as CIF:
```
data_Li2SiIr2
_space_group_name_H-M_alt 'P 4/m b m'
_space_group_IT_number 127
_space_group_name_Hall '-P 4 2ab'
_cell_length_a 6.0334
_cell_length_b 6.0334
_cell_length_c 4.2618
_cell_angle_alpha 90.00
_cell_angle_beta 90.00
_cell_angle_gamma 90.00
loop_
_atom_site_label
_atom_site_fract_x
_atom_site_fract_y
_atom_site_fract_z
Li1 0.1608 0.3392 0.0000
Si1 0.0000 0.0000 0.5000
Ir1 0.1466 0.6466 0.5000
```

Properties
Polymorph energy (0 for the lowest one) (kJ/mol of atoms): 1.7
Total moment (μB/cell): 0.00
ΔE_f (raw) (eV/atom): -0.4197


Entry 6:
The following is a PBE calculation of Y3HoTe6 after structural relaxation, from Alexandria.

Geometry as CIF:
```
data_Y3HoTe6
_space_group_name_H-M_alt 'P 1 21/m 1'
_space_group_IT_number 11
_space_group_name_Hall '-P 2yb'
_cell_length_a 12.4764
_cell_length_b 4.3441
_cell_length_c 12.7972
_cell_angle_alpha 90.00
_cell_angle_beta 109.42
_cell_angle_gamma 90.00
loop_
_atom_site_label
_atom_site_fract_x
_atom_site_fract_y
_atom_site_fract_z
Y1 0.0703 0.2500 0.1665
Y2 0.1841 0.7500 0.5025
Y3 0.3445 0.2500 0.9210
Ho1 0.4564 0.2500 0.3068
Te1 0.0166 0.2500 0.3815
Te2 0.1065 0.2500 0.9374
Te3 0.2504 0.7500 0.2812
Te4 0.3104 0.7500 0.7497
Te5 0.3909 0.2500 0.5331
Te6 0.4167 0.7500 0.1025
```

Properties
Polymorph energy (0 for the lowest one) (kJ/mol of atoms): 0.0
Total moment (μB/cell): 0.00
ΔE_f (raw) (eV/atom): -1.3788


Entry 7:
The following is a PBE calculation of LaTm2Cu after structural relaxation, from Alexandria.

Geometry as CIF:
```
data_LaTm2Cu
_space_group_name_H-M_alt 'R 3 m'
_space_group_IT_number 160
_space_group_name_Hall 'R 3 -2"'
_cell_length_a 3.6884
_cell_length_b 3.6884
_cell_length_c 29.0528
_cell_angle_alpha 90.00
_cell_angle_beta 90.00
_cell_angle_gamma 120.00
loop_
_atom_site_label
_atom_site_fract_x
_atom_site_fract_y
_atom_site_fract_z
La1 0.0000 0.0000 0.0000
Tm1 0.0000 0.0000 0.2321
Tm2 0.0000 0.0000 0.4389
Cu1 0.0000 0.0000 0.8362
```

Properties
Polymorph energy (0 for the lowest one) (kJ/mol of atoms): 12.8
Total moment (μB/cell): 0.00
Calculated formation energy (eV/atom): 0.02


Entry 8:
The following is a PBE calculation of EuLuGe2 after structural relaxation, from Alexandria.

Geometry as CIF:
```
data_EuLuGe2
_space_group_name_H-M_alt 'P 4/m m m'
_space_group_IT_number 123
_space_group_name_Hall '-P 4 2'
_cell_length_a 3.7712
_cell_length_b 3.7712
_cell_length_c 6.6747
_cell_angle_alpha 90.00
_cell_angle_beta 90.00
_cell_angle_gamma 90.00
loop_
_atom_site_label
_atom_site_fract_x
_atom_site_fract_y
_atom_site_fract_z
Eu1 0.0000 0.0000 0.0000
Lu1 0.0000 0.0000 0.5000
Ge1 0.5000 0.5000 0.2970
```

Properties
Total moment (μB/cell): 7.17
Calculated formation energy (eV/atom): -0.61


Entry 9:
The following is a PBE calculation of TiTe3Br after structural relaxation, from Alexandria.

Geometry as CIF:
```
data_TiTe3Br
_space_group_name_H-M_alt 'P m -3 m'
_space_group_IT_number 221
_space_group_name_Hall '-P 4 2 3'
_cell_length_a 5.3051
_cell_length_b 5.3051
_cell_length_c 5.3051
_cell_angle_alpha 90.00
_cell_angle_beta 90.00
_cell_angle_gamma 90.00
loop_
_atom_site_label
_atom_site_fract_x
_atom_site_fract_y
_atom_site_fract_z
Ti1 0.0000 0.0000 0.0000
Te1 0.0000 0.0000 0.5000
Br1 0.5000 0.5000 0.5000
```

Properties
Polymorph energy (0 for the lowest one) (kJ/mol of atoms): 0.0
Total moment (μB/cell): 0.00
ΔE_f (raw) (eV/atom): -0.1097


Entry 10:
The following is a PBE calculation of TiAuI4 after structural relaxation, from Alexandria.

Geometry as CIF:
```
data_TiAuI4
_space_group_name_H-M_alt 'I -4'
_space_group_IT_number 82
_space_group_name_Hall 'I -4'
_cell_length_a 6.5444
_cell_length_b 6.5444
_cell_length_c 12.2067
_cell_angle_alpha 90.00
_cell_angle_beta 90.00
_cell_angle_gamma 90.00
loop_
_atom_site_label
_atom_site_fract_x
_atom_site_fract_y
_atom_site_fract_z
Ti1 0.0000 0.0000 0.0000
Au1 0.0000 0.5000 0.7500
I1 0.2317 0.2398 0.1223
```

Properties
Total moment (μB/cell): 2.00
ΔE_f (raw) (eV/atom): -0.4237


Entry 11:
The following is a PBE calculation of Sr5Y3 after structural relaxation, from Alexandria.

Geometry as CIF:
```
data_Sr5Y3
_space_group_name_H-M_alt 'C m m m'
_space_group_IT_number 65
_space_group_name_Hall '-C 2 2'
_cell_length_a 11.3403
_cell_length_b 11.7663
_cell_length_c 5.2672
_cell_angle_alpha 90.00
_cell_angle_beta 90.00
_cell_angle_gamma 90.00
loop_
_atom_site_label
_atom_site_fract_x
_atom_site_fract_y
_atom_site_fract_z
Sr1 0.0000 0.0000 0.0000
Sr2 0.0000 0.2572 0.5000
Sr3 0.2500 0.2500 0.0000
Y1 0.0000 0.5000 0.0000
Y2 0.2252 0.5000 0.5000
```

Properties
Polymorph energy (0 for the lowest one) (kJ/mol of atoms): 0.0
Total moment (μB/cell): 6.20
Calculated formation energy (eV/atom): 0.22


Entry 12:
The following is a PBE calculation of LiNdDyAl after structural relaxation, from Alexandria.

Geometry as CIF:
```
data_LiNdDyAl
_space_group_name_H-M_alt 'F -4 3 m'
_space_group_IT_number 216
_space_group_name_Hall 'F -4 2 3'
_cell_length_a 7.3997
_cell_length_b 7.3997
_cell_length_c 7.3997
_cell_angle_alpha 90.00
_cell_angle_beta 90.00
_cell_angle_gamma 90.00
loop_
_atom_site_label
_atom_site_fract_x
_atom_site_fract_y
_atom_site_fract_z
Li1 0.0000 0.0000 0.0000
Nd1 0.2500 0.2500 0.2500
Dy1 0.2500 0.2500 0.7500
Al1 0.0000 0.0000 0.5000
```

Properties
Total moment (μB/cell): 0.00
Calculated formation energy (eV/atom): -0.20